# 1
An optimized crystal structure of Hf2ZrHgBi, computed with PBE.

The value obtained for the volume is 30.167 Å³ per atom. The energy relative to the elements comes out at 5.94 eV/f.u. As for the space group: P4/mmm (123).

a b c (Å): 5.2121 5.2121 5.5524
angles (deg): 90.00 90.00 90.00
Sites, in units of the cell vectors:
Hf (0.0000, 0.5000, 0.0000)
Hf (0.5000, 0.0000, 0.0000)
Zr (0.0000, 0.0000, 0.5000)
Hg (0.5000, 0.5000, 0.0000)
Bi (0.5000, 0.5000, 0.5000)

---

# 2
An optimized crystal structure of HoHfBi2, computed with PBE.

The value obtained for the volume is 29.054 Å³ per atom. The energy relative to the elements comes out at 0.10 eV/f.u. As for the space group: R-3m (166).

a b c (Å): 11.4179 11.4179 11.4179
angles (deg): 17.40 17.40 17.40
Sites, in units of the cell vectors:
Ho (0.0000, 0.0000, 0.0000)
Hf (0.5000, 0.5000, 0.5000)
Bi (0.0952, 0.0952, 0.0952)
Bi (0.9048, 0.9048, 0.9048)

---

# 3
An optimized crystal structure of HoHfBi, computed with PBE.

The value obtained for the volume is 26.267 Å³ per atom. The energy relative to the elements comes out at -1.31 eV/f.u. As for the space group: P4/nmm (129).

a b c (Å): 4.3639 4.3639 8.2758
angles (deg): 90.00 90.00 90.00
Sites, in units of the cell vectors:
Ho (0.2500, 0.2500, 0.1571)
Ho (0.7500, 0.7500, 0.8429)
Hf (0.2500, 0.7500, 0.5000)
Hf (0.7500, 0.2500, 0.5000)
Bi (0.2500, 0.2500, 0.7714)
Bi (0.7500, 0.7500, 0.2286)

---

# 4
An optimized crystal structure of HfBiI3, computed with PBE.

The value obtained for the volume is 37.922 Å³ per atom. The energy relative to the elements, uncorrected comes out at 0.061 eV/atom. The energy above the most stable polymorph in this dataset is 0.000 eV/atom. As for the space group: Pm-3m (221).

a b c (Å): 5.7450 5.7450 5.7450
angles (deg): 90.00 90.00 90.00
Sites, in units of the cell vectors:
Hf (0.0000, 0.0000, 0.0000)
Bi (0.5000, 0.5000, 0.5000)
I (0.0000, 0.0000, 0.5000)
I (0.0000, 0.5000, 0.0000)
I (0.5000, 0.0000, 0.0000)

---

# 5
An optimized crystal structure of HfBi2I, computed with PBE.

The value obtained for the volume is 31.054 Å³ per atom. The energy relative to the elements, uncorrected comes out at 0.375 eV/atom. As for the space group: I-42d (122).

a b c (Å): 12.2038 12.2038 12.2038
angles (deg): 158.29 158.29 30.89
Sites, in units of the cell vectors:
Hf (0.0000, 0.0000, 0.0000)
Hf (0.7500, 0.2500, 0.5000)
Bi (0.0889, 0.6250, 0.9639)
Bi (0.3750, 0.3389, 0.4639)
Bi (0.6611, 0.1250, 0.0361)
Bi (0.8750, 0.9111, 0.5361)
I (0.2500, 0.7500, 0.5000)
I (0.5000, 0.5000, 0.0000)

---

# 6
An optimized crystal structure of HfBi3I, computed with PBE.

The value obtained for the volume is 36.311 Å³ per atom. The energy relative to the elements, uncorrected comes out at 0.181 eV/atom. The energy above the most stable polymorph in this dataset is 0.000 eV/atom. As for the space group: Pm-3m (221).

a b c (Å): 5.6624 5.6624 5.6624
angles (deg): 90.00 90.00 90.00
Sites, in units of the cell vectors:
Hf (0.0000, 0.0000, 0.0000)
Bi (0.0000, 0.0000, 0.5000)
Bi (0.0000, 0.5000, 0.0000)
Bi (0.5000, 0.0000, 0.0000)
I (0.5000, 0.5000, 0.5000)

---

# 7
An optimized crystal structure of HfBiI2, computed with PBE.

The value obtained for the volume is 38.565 Å³ per atom. The energy relative to the elements, uncorrected comes out at -0.071 eV/atom. As for the space group: I-42d (122).

a b c (Å): 7.8719 7.8719 7.8719
angles (deg): 97.65 97.65 137.21
Sites, in units of the cell vectors:
Hf (0.0000, 0.0000, 0.0000)
Hf (0.7500, 0.2500, 0.5000)
Bi (0.2500, 0.7500, 0.5000)
Bi (0.5000, 0.5000, 0.0000)
I (0.3750, 0.2350, 0.3600)
I (0.7650, 0.1250, 0.1400)
I (0.8750, 0.0150, 0.6400)
I (0.9850, 0.6250, 0.8600)

---

# 8
An optimized crystal structure of HfBi3I, computed with PBE.

The value obtained for the volume is 38.626 Å³ per atom. The energy relative to the elements, uncorrected comes out at 1.360 eV/atom. The energy above the most stable polymorph in this dataset is 1.179 eV/atom. As for the space group: Pm-3m (221).

a b c (Å): 5.7803 5.7803 5.7803
angles (deg): 90.00 90.00 90.00
Sites, in units of the cell vectors:
Hf (0.0000, 0.0000, 0.0000)
Bi (0.0000, 0.5000, 0.5000)
Bi (0.5000, 0.0000, 0.5000)
Bi (0.5000, 0.5000, 0.0000)
I (0.5000, 0.5000, 0.5000)

---

Number 1: E -5.339 eV per atom. Number 2: E -5.548 eV per atom. Number 3: E -6.574 eV per atom. Number 4: E -3.636 eV per atom. Number 5: E -4.442 eV per atom. Number 6: E -4.448 eV per atom. Number 7: E -4.305 eV per atom. Number 8: E -3.269 eV per atom.